# 1
Density functional theory data (PBE) for a geometry-optimized LiMg5Tl structure.

Lattice parameters (Å, degrees): 8.8332 8.8332 6.3670 57.19 57.19 81.36
Atoms (fractional coordinates):
Mg 0.9240 0.6319 0.5905
Mg 0.6146 0.8503 0.6492
Mg 0.3681 0.0760 0.9095
Mg 0.6319 0.9240 0.0905
Mg 0.1497 0.3854 0.8508
Mg 0.8503 0.6146 0.1492
Mg 0.2607 0.7393 0.7500
Mg 0.7393 0.2607 0.2500
Mg 0.0760 0.3681 0.4095
Mg 0.3854 0.1497 0.3508
Li 0.4774 0.5226 0.2500
Li 0.5226 0.4774 0.7500
Tl 0.0000 0.0000 0.5000
Tl 0.0000 0.0000 0.0000

Symmetry   C2/c, No. 15
Uncorrected energy   -1.68 eV/atom
Formation energy from the elements   69 meV/atom
ρ   3.2 Mg/m³

=====

# 2
Density functional theory data (PBE) for a geometry-optimized KCa2SnI8 structure.

Lattice parameters (Å, degrees): 7.6220 7.2574 9.6267 89.98 89.98 89.03
Atoms (fractional coordinates):
I 0.8453 0.2516 0.7767
I 0.3568 0.2761 0.5001
I 0.1551 0.7487 0.7767
I 0.6580 0.7515 0.9999
I 0.3420 0.2485 0.0001
I 0.6432 0.7239 0.4999
I 0.8449 0.2513 0.2233
I 0.1547 0.7484 0.2233
K 0.0000 0.0000 0.5000
Sn 0.0000 0.0000 0.0000
Ca 0.5001 0.5000 0.7513
Ca 0.4999 0.5000 0.2487

Symmetry   P2/m, No. 10
Uncorrected energy   -2.90 eV/atom
ρ   3.9 Mg/m³

=====

# 3
Density functional theory data (PBE) for a geometry-optimized VIrPt2 structure.

Lattice parameters (Å, degrees): 3.9485 3.8591 3.8591 90.00 90.00 90.00
Atoms (fractional coordinates):
Pt 0.0000 0.5000 0.0000
Pt 0.0000 0.0000 0.5000
Ir 0.5000 0.0000 0.0000
V 0.5000 0.5000 0.5000

Symmetry   P4/mmm, No. 123
Uncorrected energy   -7.93 eV/atom
Formation energy from the elements   -413 meV/atom
ρ   17.9 Mg/m³
Offset from the most stable computed form   0.00 eV per formula unit

=====

# 4
Density functional theory data (PBE) for a geometry-optimized BaLi17Ca structure.

Lattice parameters (Å, degrees): 7.7661 7.7661 7.7661 82.52 82.52 82.52
Atoms (fractional coordinates):
Li 0.0988 0.0988 0.0988
Li 0.0059 0.2866 0.7083
Li 0.4984 0.0017 0.0017
Li 0.3402 0.8651 0.3402
Li 0.2866 0.7083 0.0059
Li 0.9090 0.9090 0.9090
Li 0.0059 0.7083 0.2866
Li 0.3402 0.3402 0.8651
Li 0.0017 0.4984 0.0017
Li 0.6470 0.6470 0.1539
Li 0.1539 0.6470 0.6470
Li 0.0017 0.0017 0.4984
Li 0.2866 0.0059 0.7083
Li 0.8651 0.3402 0.3402
Li 0.7083 0.0059 0.2866
Li 0.6470 0.1539 0.6470
Li 0.7083 0.2866 0.0059
Ca 0.3404 0.3404 0.3404
Ba 0.6549 0.6549 0.6549

Symmetry   R3m, No. 160
Uncorrected energy   -1.90 eV/atom
Formation energy from the elements   22 meV/atom
ρ   1.1 Mg/m³

=====

# 5
Density functional theory data (PBE) for a geometry-optimized YBeAl2N structure.

Lattice parameters (Å, degrees): 5.5945 4.9676 5.5945 90.00 90.00 90.00
Atoms (fractional coordinates):
Al 0.0000 0.0000 0.5000
Al 0.5000 0.0000 0.0000
N 0.5000 0.5000 0.5000
Y 0.0000 0.0000 0.0000
Be 0.0000 0.5000 0.0000

Symmetry   P4/mmm, No. 123
Uncorrected energy   -2.70 eV/atom
ρ   1.8 Mg/m³

=====

# 6
Density functional theory data (PBE) for a geometry-optimized Y2Er9Mg structure.

Lattice parameters (Å, degrees): 4.9423 4.9423 14.8994 90.00 90.00 90.00
Atoms (fractional coordinates):
Er 0.5000 0.0000 0.8362
Er 0.0000 0.5000 0.5000
Er 0.0000 0.5000 0.8362
Er 0.5000 0.5000 0.3287
Er 0.5000 0.5000 0.0000
Er 0.5000 0.0000 0.1638
Er 0.5000 0.5000 0.6713
Er 0.0000 0.5000 0.1638
Er 0.5000 0.0000 0.5000
Y 0.0000 0.0000 0.6678
Y 0.0000 0.0000 0.3322
Mg 0.0000 0.0000 0.0000

Symmetry   P4/mmm, No. 123
Uncorrected energy   -4.61 eV/atom
Formation energy from the elements   27 meV/atom
ρ   7.8 Mg/m³

=====

# 7
Density functional theory data (PBE) for a geometry-optimized Mn3W5 structure.

Lattice parameters (Å, degrees): 7.2760 7.2760 5.0357 90.00 90.00 60.00
Atoms (fractional coordinates):
W 0.3333 0.3333 0.5000
W 0.3333 0.3333 0.0000
W 0.6667 0.6667 0.0000
W 0.2396 0.0000 0.2500
W 0.0000 0.2396 0.7500
W 0.6667 0.6667 0.5000
W 0.7604 0.0000 0.7500
W 0.2396 0.7604 0.7500
W 0.0000 0.7604 0.2500
W 0.7604 0.2396 0.2500
Mn 0.0000 0.5938 0.7500
Mn 0.4062 0.0000 0.7500
Mn 0.5938 0.0000 0.2500
Mn 0.5938 0.4062 0.7500
Mn 0.4062 0.5938 0.2500
Mn 0.0000 0.4062 0.2500

Symmetry   P6_3/mcm, No. 193
Uncorrected energy   -11.34 eV/atom
Formation energy from the elements   198 meV/atom
ρ   15.6 Mg/m³
Offset from the most stable computed form   0.37 eV per formula unit

=====

# 8
Density functional theory data (PBE) for a geometry-optimized Ac3SmPt8 structure.

Lattice parameters (Å, degrees): 5.6155 5.6155 9.7400 73.25 73.25 60.00
Atoms (fractional coordinates):
Pt 0.6876 0.6876 0.9373
Pt 0.1877 0.1877 0.4368
Pt 0.4366 0.4366 0.1911
Pt 0.9382 0.4401 0.6835
Pt 0.4401 0.9382 0.6835
Pt 0.4366 0.9358 0.1911
Pt 0.9382 0.9382 0.6835
Pt 0.9358 0.4366 0.1911
Ac 0.5017 0.5017 0.4950
Ac 0.3756 0.3756 0.8733
Ac 0.9980 0.9980 0.0060
Sm 0.8740 0.8740 0.3779

Symmetry   R3m, No. 160
Uncorrected energy   -6.48 eV/atom
Formation energy from the elements   -1032 meV/atom
ρ   15.8 Mg/m³

=====

# 9
Density functional theory data (PBE) for a geometry-optimized NiBC structure.

Lattice parameters (Å, degrees): 2.8685 3.4973 5.8768 90.00 90.31 90.00
Atoms (fractional coordinates):
Ni 0.5670 0.0000 0.7067
Ni 0.5670 0.5000 0.2067
C 0.5610 0.5000 0.8661
C 0.5610 0.0000 0.3661
B 0.0613 0.5000 0.9025
B 0.0613 0.0000 0.4025

Symmetry   Cm, No. 8
Uncorrected energy   -6.90 eV/atom
Formation energy from the elements   323 meV/atom
ρ   4.6 Mg/m³
Offset from the most stable computed form   0.66 eV per formula unit

=====

# 10
Density functional theory data (PBE) for a geometry-optimized ScTl2Pd7 structure.

Lattice parameters (Å, degrees): 2.9968 9.1153 9.1153 125.61 90.00 90.00
Atoms (fractional coordinates):
Pd 0.5000 0.7014 0.8739
Pd 0.0000 0.8198 0.1802
Pd 0.5000 0.8739 0.7014
Pd 0.5000 0.5000 0.5000
Pd 0.0000 0.1802 0.8198
Pd 0.5000 0.2986 0.1261
Pd 0.5000 0.1261 0.2986
Tl 0.5000 0.6758 0.3242
Tl 0.5000 0.3242 0.6758
Sc 0.0000 0.0000 0.0000

Symmetry   Cmmm, No. 65
Uncorrected energy   -4.85 eV/atom
Formation energy from the elements   -108 meV/atom
ρ   9.8 Mg/m³

=====

# 11
Density functional theory data (PBE) for a geometry-optimized FeAgP3 structure.

Lattice parameters (Å, degrees): 4.3855 4.3855 4.3855 90.00 90.00 90.00
Atoms (fractional coordinates):
P 0.0000 0.5000 0.0000
P 0.0000 0.0000 0.5000
P 0.5000 0.0000 0.0000
Ag 0.5000 0.5000 0.5000
Fe 0.0000 0.0000 0.0000

Symmetry   Pm-3m, No. 221
Uncorrected energy   -4.94 eV/atom
Formation energy from the elements   572 meV/atom
ρ   5.1 Mg/m³
Offset from the most stable computed form   0.00 eV per formula unit

=====

# 12
Density functional theory data (PBE) for a geometry-optimized LaPm6Er2Tm3 structure.

Lattice parameters (Å, degrees): 6.2389 6.2389 11.8510 95.03 95.03 120.01
Atoms (fractional coordinates):
Tm 0.1671 0.8329 0.5000
Tm 0.8329 0.1671 0.5000
Tm 0.5000 0.5000 0.5000
La 0.0000 0.0000 0.0000
Er 0.6666 0.3334 0.0000
Er 0.3334 0.6666 0.0000
Pm 0.7503 0.7503 0.2537
Pm 0.5807 0.9153 0.7465
Pm 0.4193 0.0847 0.2535
Pm 0.2497 0.2497 0.7463
Pm 0.0847 0.4193 0.2535
Pm 0.9153 0.5807 0.7465

Symmetry   C2/m, No. 12
Uncorrected energy   -4.64 eV/atom
Formation energy from the elements   21 meV/atom
ρ   7.8 Mg/m³